PrSm2PuSb4 | PBE | optimized geometry

Raw formation energy: -1.026 eV/atom
Magnetic moment: 5.0 Bohr magnetons per cell

The structure in extended XYZ format:
```
8
Lattice="4.488 0.000 0.000 0.000 7.760 0.143 0.000 -2.721 7.270" Properties=species:S:1:pos:R:3 pbc="T T T"
Sb 0.000 5.105 1.916
Sb 2.244 1.294 1.869
Sb 0.000 -0.067 5.497
Sb 2.244 3.744 5.544
Sm 0.000 2.519 3.706
Sm 2.244 -1.361 3.635
Pr 0.000 0.000 0.000
Pu 2.244 3.880 0.072
```

---

YP2Ir4 | PBE | optimized geometry

Calculated formation energy: -667 meV/atom
Magnetic moment: 0.0 Bohr magnetons per cell

The structure in extended XYZ format:
```
14
Lattice="3.759 0.000 0.000 0.000 7.626 0.000 0.000 0.000 7.626" Properties=species:S:1:pos:R:3 pbc="T T T"
Ir 0.000 0.525 2.460
Ir 1.880 6.273 3.288
Ir 0.000 5.166 7.101
Ir 1.880 1.353 4.338
Ir 1.880 3.288 6.273
Ir 0.000 2.460 0.525
Ir 0.000 7.101 5.166
Ir 1.880 4.338 1.353
Y 0.000 3.813 3.813
Y 1.880 0.000 0.000
P 0.000 1.779 5.847
P 1.880 2.034 2.034
P 1.880 5.592 5.592
P 0.000 5.847 1.779
```